TiAgMo2: relaxed, PBE.

Calculated values
Energy relative to the lowest polymorph listed for this composition in meV per atom: 102
ΔH_f (0 K) in eV/atom: 0.630
M_tot in μB per formula unit: 0.0
Energy in eV per atom: -7.472

Cell lengths 3.791, 3.791, 19.563 Å; angles 90.00, 90.00, 90.00 degrees
Space group I-42d (No. 122)
Inequivalent atoms, fractional coordinates:
1 Ti 0.000 0.000 0.000 (multiplicity 4)
2 Ag 0.000 0.000 0.500 (multiplicity 4)
3 Mo 0.228 0.250 0.125 (multiplicity 8)